This record from Alexandria describes a relaxed structure of Ba3Na2Mg. The functional is PBE.

Lattice parameters (Å, degrees): 6.4478 6.4478 15.8435 90.00 90.00 120.00
Positions (direct):
Na1 0.6667 0.3333 0.8314
Ba1 0.3333 0.6667 0.9068
Mg1 0.3333 0.6667 0.6639
Ba2 0.0000 0.0000 0.7403
Na2 0.0000 0.0000 0.0000
Mg2 0.6667 0.3333 0.3361
Ba3 0.3333 0.6667 0.4168
Na3 0.3333 0.6667 0.1686
Ba4 0.6667 0.3333 0.5831
Ba5 0.6667 0.3333 0.0932
Na4 0.0000 0.0000 0.5000
Ba6 0.0000 0.0000 0.2597

Summary:
Distance to the lowest polymorph of the same formula   1.48 kJ/mol of atoms
Crystal system   trigonal
ΔE_f   -0.004 eV per atom


This record from Alexandria describes a relaxed structure of Na2CdPdCl6. The functional is PBE.

Lattice parameters (Å, degrees): 7.5247 6.5630 8.0716 60.34 53.04 59.47
Last column: magnetic moment on the atom in μB.
Positions (direct):
Na1 0.5119 0.5341 0.4499  0.00
Cl1 0.9731 0.5598 0.2430  0.00
Cl2 0.6390 0.1537 0.3126  0.00
Cl3 0.4170 0.6934 0.7727  0.00
Pd1 0.3269 0.3267 0.0198  0.10
Cl4 0.2440 0.9569 0.2580  0.00
Cd1 0.8411 0.8148 0.5248  0.00
Cl5 0.0550 0.4786 0.7234  0.01
Na2 0.9728 0.0330 0.9269  0.00
Cl6 0.6807 0.1106 0.7840  0.00

Summary:
E_form (uncorrected)   -1.146 eV per atom
Crystal system   triclinic


This record from Alexandria describes a relaxed structure of Na2NpF6. The functional is PBE.

Lattice parameters (Å, degrees): 6.1115 5.6064 9.3000 90.00 95.67 90.00
Last column: magnetic moment on the atom in μB.
Positions (direct):
Np1 0.5000 0.5000 0.0000  3.07
Na1 0.0223 0.5240 0.1947  0.00
F1 0.8106 0.6823 0.9928  -0.02
F2 0.6456 0.2685 0.8456  -0.01
F3 0.1894 0.3177 0.0072  -0.02
F4 0.3387 0.7062 0.8240  -0.02
Np2 0.0000 0.0000 0.5000  3.07
Na2 0.5223 0.9760 0.6947  0.00
Na3 0.9777 0.4760 0.8053  0.00
F5 0.1456 0.2315 0.3456  -0.01
F6 0.1613 0.2062 0.6760  -0.02
F7 0.3544 0.7315 0.1544  -0.01
F8 0.6894 0.1823 0.5072  -0.02
F9 0.8544 0.7685 0.6544  -0.01
Na4 0.4777 0.0240 0.3053  0.00
F10 0.8387 0.7938 0.3240  -0.02
F11 0.6613 0.2938 0.1760  -0.02
F12 0.3106 0.8177 0.4928  -0.02

Summary:
E_form (uncorrected)   -3.167 eV per atom
Crystal system   monoclinic


This record from Alexandria describes a relaxed structure of Ce2CrWN5. The functional is PBE.

Lattice parameters (Å, degrees): 3.2602 6.8082 10.0803 90.00 90.00 103.85
Last column: magnetic moment on the atom in μB.
Positions (direct):
N1 0.7122 0.4244 0.1513  0.00
N2 0.9535 0.9071 0.5507  -0.01
Ce1 0.1132 0.2265 0.6838  0.07
N3 0.0465 0.0929 0.0507  -0.01
N4 0.3177 0.6353 0.3726  0.00
N5 0.2878 0.5756 0.6513  0.00
N6 0.3581 0.7161 0.0032  -0.01
N7 0.6823 0.3647 0.8726  0.00
N8 0.5047 0.0093 0.2887  0.00
Ce2 0.8580 0.7161 0.8071  0.05
W1 0.2014 0.4028 0.0095  -0.03
Cr1 0.5433 0.0865 0.9571  0.36
N9 0.6419 0.2839 0.5032  -0.01
Ce3 0.8868 0.7735 0.1838  0.07
W2 0.7986 0.5972 0.5095  -0.03
Cr2 0.4567 0.9135 0.4571  0.36
Ce4 0.1420 0.2839 0.3071  0.05
N10 0.4953 0.9907 0.7887  0.00

Summary:
E_form (uncorrected)   -0.986 eV per atom
Crystal system   orthorhombic


This record from Alexandria describes a relaxed structure of CuPtRh2N. The functional is PBE.

Lattice parameters (Å, degrees): 4.0422 4.0422 3.9671 90.00 90.00 90.00
Last column: magnetic moment on the atom in μB.
Positions (direct):
N1 0.0000 0.0000 0.0000  0.07
Rh1 0.0000 0.5000 0.0000  0.30
Cu1 0.0000 0.0000 0.5000  0.02
Rh2 0.5000 0.0000 0.0000  0.30
Pt1 0.5000 0.5000 0.5000  0.07

Summary:
E_form (uncorrected)   0.255 eV per atom
Crystal system   tetragonal


This record from Alexandria describes a relaxed structure of Ho6Tm19Sc4. The functional is PBE.

Lattice parameters (Å, degrees): 10.5379 10.5378 10.5378 109.47 109.47 109.47
Positions (direct):
Tm1 0.3248 0.7898 0.9830
Ho1 0.3701 0.5000 0.8701
Tm2 0.0170 0.8068 0.3418
Tm3 0.6582 0.4650 0.6752
Sc1 0.0000 0.0000 0.6456
Ho2 0.8701 0.3701 0.5000
Sc2 0.3544 0.3544 0.3544
Tm4 0.8068 0.3418 0.0170
Tm5 0.2102 0.5350 0.1932
Ho3 0.6299 0.5000 0.1299
Ho4 0.1299 0.6299 0.5000
Tm6 0.6752 0.6582 0.4650
Tm7 0.0000 0.0000 0.0000
Tm8 0.9830 0.3248 0.7898
Ho5 0.5000 0.8701 0.3701
Ho6 0.5000 0.1299 0.6299
Tm9 0.2599 0.2599 0.0000
Tm10 0.0000 0.2599 0.2599
Tm11 0.0000 0.7401 0.7401
Sc3 0.6456 0.0000 0.0000
Sc4 0.0000 0.6456 0.0000
Tm12 0.7401 0.7401 0.0000
Tm13 0.7898 0.9830 0.3248
Tm14 0.3418 0.0170 0.8068
Tm15 0.7401 0.0000 0.7401
Tm16 0.2599 0.0000 0.2599
Tm17 0.5350 0.1932 0.2102
Tm18 0.1932 0.2102 0.5350
Tm19 0.4650 0.6752 0.6582

Summary:
Crystal system   cubic
ΔE_f   0.389 eV per atom


This record from Alexandria describes a relaxed structure of LiPt4Pb. The functional is PBE.

Lattice parameters (Å, degrees): 5.3850 5.3850 5.3850 60.00 60.00 60.00
Positions (direct):
Pt1 0.1257 0.6248 0.6248
Pb1 0.0000 0.0000 0.0000
Pt2 0.6248 0.6248 0.1257
Pt3 0.6248 0.1257 0.6248
Li1 0.2500 0.2500 0.2500
Pt4 0.6248 0.6248 0.6248

Summary:
Crystal system   cubic
ΔE_f   -0.322 eV per atom


This record from Alexandria describes a relaxed structure of AlCr4Ni. The functional is PBE.

Lattice parameters (Å, degrees): 4.7220 4.7220 4.7220 60.00 60.00 60.00
Positions (direct):
Cr1 0.3747 0.8760 0.3747
Ni1 0.7500 0.7500 0.7500
Cr2 0.3747 0.3747 0.3747
Cr3 0.8760 0.3747 0.3747
Cr4 0.3747 0.3747 0.8760
Al1 0.0000 0.0000 0.0000

Summary:
Crystal system   cubic
ΔE_f   0.186 eV per atom


This record from Alexandria describes a relaxed structure of Tb6Pr12Er. The functional is PBE.

Lattice parameters (Å, degrees): 8.7484 8.7484 8.7484 88.96 88.96 88.96
Positions (direct):
Tb1 0.9013 0.2952 0.7406
Pr1 0.6372 0.9817 0.8082
Tb2 0.7048 0.2594 0.0987
Tb3 0.7406 0.9013 0.2952
Pr2 0.1918 0.3628 0.0183
Pr3 0.2178 0.4640 0.5666
Pr4 0.8082 0.6372 0.9817
Pr5 0.5360 0.4334 0.7822
Pr6 0.4334 0.7822 0.5360
Pr7 0.5666 0.2178 0.4640
Pr8 0.7822 0.5360 0.4334
Er1 0.0000 0.0000 0.0000
Pr9 0.9817 0.8082 0.6372
Pr10 0.3628 0.0183 0.1918
Pr11 0.0183 0.1918 0.3628
Tb4 0.2952 0.7406 0.9013
Pr12 0.4640 0.5666 0.2178
Tb5 0.0987 0.7048 0.2594
Tb6 0.2594 0.0987 0.7048

Summary:
Distance to the lowest polymorph of the same formula   0.00 kJ/mol of atoms
Crystal system   trigonal
ΔE_f   0.128 eV per atom


This record from Alexandria describes a relaxed structure of NdHoSnHg. The functional is PBE.

Lattice parameters (Å, degrees): 5.3585 5.3585 5.3585 60.00 60.00 60.00
Positions (direct):
Sn1 0.2500 0.2500 0.2500
Ho1 0.5000 0.5000 0.5000
Hg1 0.7500 0.7500 0.7500
Nd1 0.0000 0.0000 0.0000

Summary:
Distance to the lowest polymorph of the same formula   0.00 kJ/mol of atoms
Crystal system   cubic
ΔE_f   -0.571 eV per atom


This record from Alexandria describes a relaxed structure of La3P2N6. The functional is PBE.

Lattice parameters (Å, degrees): 4.3059 4.3059 10.0338 85.07 85.07 82.06
Positions (direct):
N1 0.0090 0.4933 0.1603
N2 0.4933 0.0090 0.1603
La1 0.0000 0.0000 0.0000
P1 0.3167 0.3167 0.2245
P2 0.6833 0.6833 0.7755
N3 0.3332 0.3331 0.3870
La2 0.2748 0.2748 0.6427
La3 0.7252 0.7252 0.3573
N4 0.6668 0.6669 0.6130
N5 0.5067 0.9910 0.8397
N6 0.9910 0.5067 0.8397

Summary:
E_form (uncorrected)   -0.991 eV per atom
Crystal system   monoclinic


This record from Alexandria describes a relaxed structure of PrNdSm5Ho2. The functional is PBE.

Lattice parameters (Å, degrees): 5.6956 10.5308 10.6871 90.00 90.00 105.69
Positions (direct):
Sm1 0.7190 0.4380 0.8102
Pr1 0.4152 0.8303 0.4493
Sm2 0.2810 0.5620 0.3102
Sm3 0.7027 0.4054 0.2068
Ho1 0.1117 0.2235 0.7335
Ho2 0.8838 0.7677 0.8231
Sm4 0.9832 0.9663 0.5254
Ho3 0.1162 0.2323 0.3231
Nd1 0.7984 0.5967 0.5111
Nd2 0.2016 0.4033 0.0111
Sm5 0.5228 0.0455 0.2387
Sm6 0.2973 0.5946 0.7068
Sm7 0.6086 0.2172 0.5259
Sm8 0.0168 0.0337 0.0254
Sm9 0.3914 0.7828 0.0259
Ho4 0.8883 0.7765 0.2335
Pr2 0.5848 0.1697 0.9493
Sm10 0.4772 0.9545 0.7387

Summary:
Crystal system   orthorhombic
ΔE_f   0.151 eV per atom


This record from Alexandria describes a relaxed structure of KCdInMo2. The functional is PBE.

Lattice parameters (Å, degrees): 4.7138 5.2607 4.7138 90.00 90.00 90.00
Last column: magnetic moment on the atom in μB.
Positions (direct):
Mo1 0.0000 0.0000 0.5000  0.62
Cd1 0.0000 0.5000 0.0000  -0.01
Mo2 0.5000 0.0000 0.0000  0.80
K1 0.0000 0.0000 0.0000  0.00
In1 0.5000 0.5000 0.5000  -0.02

Summary:
Crystal system   tetragonal
ΔE_f   2.550 eV per atom


This record from Alexandria describes a relaxed structure of NaCuSCl2. The functional is PBE.

Lattice parameters (Å, degrees): 5.0078 5.0078 5.1246 90.00 90.00 90.00
Last column: magnetic moment on the atom in μB.
Positions (direct):
Cu1 0.5000 0.5000 0.5000  -0.09
Na1 0.0000 0.0000 0.0000  0.01
S1 0.0000 0.0000 0.5000  0.10
Cl1 0.0000 0.5000 0.0000  0.03
Cl2 0.5000 0.0000 0.0000  0.03

Summary:
E_form (uncorrected)   0.359 eV per atom
Distance to the lowest polymorph of the same formula   84.33 kJ/mol of atoms
Crystal system   tetragonal


This record from Alexandria describes a relaxed structure of Dy2TiBe4Pt3. The functional is PBE.

Lattice parameters (Å, degrees): 3.8839 3.8839 10.3597 90.00 90.00 90.00
Positions (direct):
Be1 0.5000 0.0000 0.6522
Pt1 0.0000 0.5000 0.1224
Be2 0.0000 0.0000 0.0000
Be3 0.5000 0.5000 0.0000
Pt2 0.5000 0.0000 0.8776
Dy1 0.0000 0.5000 0.7582
Ti1 0.5000 0.5000 0.5000
Pt3 0.0000 0.0000 0.5000
Dy2 0.5000 0.0000 0.2418
Be4 0.0000 0.5000 0.3478

Summary:
Crystal system   tetragonal
ΔE_f   -0.704 eV per atom


This record from Alexandria describes a relaxed structure of Nb2IrAu2. The functional is PBE.

Lattice parameters (Å, degrees): 7.0562 7.0562 3.6053 90.00 90.00 90.00
Positions (direct):
Ir1 0.5000 0.5000 0.0000
Nb1 0.8294 0.3294 0.5000
Au1 0.3654 0.8654 0.0000
Nb2 0.6706 0.8294 0.5000
Au2 0.1346 0.3654 0.0000
Au3 0.8654 0.6346 0.0000
Au4 0.6346 0.1346 0.0000
Nb3 0.1706 0.6706 0.5000
Nb4 0.3294 0.1706 0.5000
Ir2 0.0000 0.0000 0.0000

Summary:
Distance to the lowest polymorph of the same formula   0.00 kJ/mol of atoms
Crystal system   tetragonal
ΔE_f   0.187 eV per atom


This record from Alexandria describes a relaxed structure of GaHgCl3. The functional is PBE.

Lattice parameters (Å, degrees): 7.0861 6.1338 7.8312 93.92 89.90 89.98
Positions (direct):
Ga1 0.2357 0.5334 0.7614
Cl1 0.0322 0.3226 0.9103
Cl2 0.5347 0.0304 0.1878
Ga2 0.7371 0.8192 0.3370
Cl3 0.7158 0.9504 0.6036
Cl4 0.2163 0.4023 0.4949
Hg1 0.1181 0.9188 0.8184
Cl5 0.5159 0.4800 0.8674
Cl6 0.0181 0.8726 0.2317
Hg2 0.6199 0.4340 0.2798

Summary:
E_form (uncorrected)   -0.875 eV per atom
Distance to the lowest polymorph of the same formula   0.00 kJ/mol of atoms
Crystal system   triclinic


This record from Alexandria describes a relaxed structure of La2MgGe3. The functional is PBE.

Lattice parameters (Å, degrees): 4.5163 7.0594 19.0349 90.00 90.00 90.00
Positions (direct):
Ge1 0.7500 0.3652 0.8112
La1 0.2500 0.6666 0.5824
Mg1 0.2500 0.4476 0.0609
La2 0.7500 0.3334 0.4176
Ge2 0.2500 0.7483 0.9666
Ge3 0.2500 0.6348 0.1888
La3 0.7500 0.3114 0.2010
Ge4 0.7500 0.2517 0.0334
Ge5 0.2500 0.1348 0.3112
Ge6 0.2500 0.4986 0.3135
Mg2 0.7500 0.5524 0.9391
La4 0.7500 0.8114 0.2990
Ge7 0.2500 0.9986 0.1865
Ge8 0.2500 0.2483 0.5334
Ge9 0.7500 0.7517 0.4666
La5 0.2500 0.1886 0.7010
Mg3 0.2500 0.9476 0.4391
Ge10 0.7500 0.5014 0.6865
La6 0.2500 0.1666 0.9176
Mg4 0.7500 0.0524 0.5609
La7 0.2500 0.6886 0.7990
Ge11 0.7500 0.0014 0.8135
Ge12 0.7500 0.8652 0.6888
La8 0.7500 0.8334 0.0824

Summary:
Crystal system   orthorhombic
ΔE_f   -0.722 eV per atom


This record from Alexandria describes a relaxed structure of NaCaZr3. The functional is PBE.

Lattice parameters (Å, degrees): 5.2049 5.2049 5.2049 90.00 90.00 90.00
Positions (direct):
Zr1 0.0000 0.5000 0.0000
Ca1 0.5000 0.5000 0.5000
Zr2 0.0000 0.0000 0.5000
Zr3 0.5000 0.0000 0.0000
Na1 0.0000 0.0000 0.0000

Summary:
Distance to the lowest polymorph of the same formula   0.00 kJ/mol of atoms
Crystal system   cubic
ΔE_f   1.263 eV per atom


This record from Alexandria describes a relaxed structure of NiHg4. The functional is PBE.

Lattice parameters (Å, degrees): 5.1348 5.1348 5.1348 90.00 90.00 90.00
Positions (direct):
Hg1 0.0000 0.0000 0.0000
Hg2 0.5000 0.5000 0.0000
Hg3 0.5000 0.0000 0.5000
Hg4 0.0000 0.5000 0.5000
Ni1 0.5000 0.5000 0.5000

Summary:
Distance to the lowest polymorph of the same formula   9.77 kJ/mol of atoms
Crystal system   cubic
ΔE_f   0.120 eV per atom


This record from Alexandria describes a relaxed structure of ThCo5C2. The functional is PBE.

Lattice parameters (Å, degrees): 3.5500 5.4070 5.4070 67.47 70.84 70.84
Positions (direct):
C1 0.2336 0.2664 0.2664
Co1 0.3406 0.4617 0.8571
Co2 0.0000 0.5000 0.5000
C2 0.7664 0.7336 0.7336
Th1 0.0000 0.0000 0.0000
Co3 0.6594 0.5383 0.1429
Co4 0.3406 0.8571 0.4617
Co5 0.6594 0.1429 0.5383

Summary:
Crystal system   orthorhombic
ΔE_f   -0.009 eV per atom


Number 1: calculated density 2.81 g/cm3. Number 2: calculated density 3.01 g/cm3. Number 3: calculated density 4.16 g/cm3. Number 4: calculated density 8.96 g/cm3. Number 5: calculated density 12.26 g/cm3. Number 6: calculated density 8.07 g/cm3. Number 7: calculated density 14.96 g/cm3. Number 8: calculated density 6.55 g/cm3. Number 9: calculated density 6.98 g/cm3. Number 10: calculated density 9.59 g/cm3. Number 11: calculated density 5.10 g/cm3. Number 12: calculated density 7.36 g/cm3. Number 13: calculated density 6.51 g/cm3. Number 14: calculated density 2.45 g/cm3. Number 15: calculated density 10.56 g/cm3. Number 16: calculated density 14.28 g/cm3. Number 17: calculated density 3.68 g/cm3. Number 18: calculated density 5.69 g/cm3. Number 19: calculated density 3.97 g/cm3. Number 20: calculated density 10.56 g/cm3. Number 21: calculated density 10.38 g/cm3.